A relaxed structure of GeRuBr2, computed with PBE-GGA.

```
GeRuBr2
1.0
1.5748 0.9092 9.8886
-1.5748 0.9092 9.8886
0.0000 -1.8184 9.8886
Ge Ru Br
1 1 2
Direct
0.0000 0.0000 0.0000
0.5000 0.5000 0.5000
0.4199 0.4199 0.4199
0.5801 0.5801 0.5801
```

Properties
For the total energy, the calculation gives -3.7340 eV/atom. As for the uncorrected formation energy: 0.58 eV per atom. As for the energy above the lowest structure with this stoichiometry: 0.0 meV per atom. The calculation puts the spin magnetization at 0.000 μB per cell.